No. 1
Entry from Alexandria: a crystal of MnTcTe2 relaxed with PBEsol (SCAN).

- Calculated volume: 19.2 Å³/atom
- Calculated density: 8810 kg/m3
- Energy above the lowest structure with this stoichiometry: 0 meV per atom

extended XYZ file:
```
4
Lattice="3.355 0.000 0.000 -1.678 4.008 0.009 0.000 -1.291 5.717" Properties=species:S:1:pos:R:3 pbc="T T T"
Mn 1.678 0.000 0.000
Tc 0.000 -0.646 2.859
Te 1.678 0.994 4.232
Te 0.000 1.724 1.493
```

---

No. 2
Entry from Alexandria: a crystal of MnTcTe2 relaxed with PBEsol (SCAN).

- Calculated volume: 19.5 Å³/atom
- Calculated density: 8706 kg/m3
- Energy above the lowest structure with this stoichiometry: 423 meV per atom

extended XYZ file:
```
4
Lattice="3.245 0.000 0.000 1.622 2.810 0.000 1.622 0.937 8.537" Properties=species:S:1:pos:R:3 pbc="T T T"
Te 4.867 2.810 2.516
Te 1.622 0.937 6.021
Tc 0.000 0.000 0.000
Mn 3.245 1.873 4.269
```

---

No. 3
Entry from Alexandria: a crystal of MnTl2Tc relaxed with PBEsol (SCAN).

- Calculated volume: 18.2 Å³/atom
- Energy relative to the elements: 1.47 eV/f.u.
- Calculated density: 12811 kg/m3

extended XYZ file:
```
4
Lattice="2.943 0.000 -0.061 0.000 2.969 0.000 -1.290 0.000 8.360" Properties=species:S:1:pos:R:3 pbc="T T T"
Mn 2.122 0.000 4.508
Tc 0.676 1.484 5.775
Tl -0.748 0.000 7.975
Tl 0.611 1.484 2.519
```

---

No. 4
Entry from Alexandria: a crystal of MnTlTc3 relaxed with PBEsol (SCAN).

- Calculated volume: 17.0 Å³/atom
- Energy relative to the elements: 6.04 eV/f.u.
- Calculated density: 10814 kg/m3

extended XYZ file:
```
5
Lattice="-4.191 1.320 -0.126 -1.087 -3.179 2.835 0.760 2.734 3.357" Properties=species:S:1:pos:R:3 pbc="T T T"
Tl -2.259 0.438 3.033
Mn 0.000 0.000 0.000
Tc -0.544 -1.590 1.418
Tc 0.380 1.367 1.679
Tc -2.096 0.660 -0.063
```

---

- Among the records above, which one has the lowest calculated volume?
  MnTlTc3